## CrHgOF2 (PBE with a Hubbard U)

Data for a geometry-optimized CrHgOF2 structure.

Offset from the most stable computed form (meV per atom): 896.8
VASP energy (eV/atom): -3.9420
Fermi-level density of states (states/eV per cell): 3.34

Unit cell a=4.5147 b=4.5147 c=4.2130 alpha=90.00 beta=90.00 gamma=90.00
Each line ends with the local moment (μB).
Atoms (fractional coordinates):
Cr (0.5000, 0.5000, 0.5000)  4.31
Hg (0.0000, 0.0000, 0.0000)  -0.02
O (0.0000, 0.0000, 0.5000)  -0.18
F (0.0000, 0.5000, 0.0000)  0.00
F (0.5000, 0.0000, 0.0000)  0.00